(1)
Computed, not measured: an optimized crystal structure of LaAg2Pb at the PBE level of DFT.

Lattice parameters (Å, degrees): 3.409 5.024 6.104 90.00 90.00 90.00
Fractional coordinates of all 4 atoms:
La 0.000 0.000 0.000
Ag 0.500 0.500 0.235
Ag 0.500 0.500 0.765
Pb 0.500 0.000 0.500

Values from the calculation:
Energy of formation = -0.2053 eV/atom
Crystal system = orthorhombic
Symmetry = Pmmm

=====

(2)
Computed, not measured: an optimized crystal structure of TbTmHgRu at the PBE level of DFT.

Lattice parameters (Å, degrees): 5.007 5.007 5.007 60.00 60.00 60.00
Fractional coordinates of all 4 atoms:
Tb 0.000 0.000 0.000
Tm 0.500 0.500 0.500
Hg 0.750 0.750 0.750
Ru 0.250 0.250 0.250

Values from the calculation:
Energy of formation = -0.3696 eV/atom
Crystal system = cubic
Symmetry = F-43m
Polymorph energy (0 for the lowest one) = 0.131 eV/atom

=====

(3)
Computed, not measured: an optimized crystal structure of HoSc2Pt at the PBE level of DFT.

Lattice parameters (Å, degrees): 6.036 6.036 7.419 90.00 90.00 135.66
Fractional coordinates of all 8 atoms:
Ho 0.052 0.948 0.750
Ho 0.948 0.052 0.250
Sc 0.347 0.653 0.543
Sc 0.347 0.653 0.957
Sc 0.653 0.347 0.043
Sc 0.653 0.347 0.457
Pt 0.200 0.800 0.250
Pt 0.800 0.200 0.750

Values from the calculation:
Energy of formation = -0.6990 eV/atom
Crystal system = orthorhombic
Symmetry = Cmcm
Polymorph energy (0 for the lowest one) = 0.009 eV/atom

=====

> The highest energy of formation belongs to which entry?

LaAg2Pb